Record 1
A plane-wave DFT calculation with PBE-GGA was carried out for a geometry-optimized GaSnAu4 structure.

Geometry as CIF:
```
data_GaSnAu4
_chemical_formula_sum 'Ga4 Sn4 Au16'
_space_group_name_H-M_alt 'F -4 3 m'
_space_group_IT_number 216
_space_group_name_Hall 'F -4 2 3'
_cell_length_a 7.919
_cell_length_b 7.919
_cell_length_c 7.919
_cell_angle_alpha 90.00
_cell_angle_beta 90.00
_cell_angle_gamma 90.00
loop_
_atom_site_label
_atom_site_type_symbol
_atom_site_fract_x
_atom_site_fract_y
_atom_site_fract_z
Ga1 Ga 0.000 0.000 0.000
Sn1 Sn 0.250 0.250 0.250
Au1 Au 0.125 0.125 0.625
```

**DFT formation energy**: 43 meV/atom
**Raw total energy**: -3.31 eV/atom
**Magnetization**: 0.00 μB per formula unit

***

Record 2
A plane-wave DFT calculation with PBE-GGA was carried out for a geometry-optimized SrLi4Pt structure.

Geometry as CIF:
```
data_SrLi4Pt
_chemical_formula_sum 'Sr2 Li8 Pt2'
_space_group_name_H-M_alt 'P m m a'
_space_group_IT_number 51
_cell_length_a 7.772
_cell_length_b 4.372
_cell_length_c 7.849
_cell_angle_alpha 90.00
_cell_angle_beta 90.00
_cell_angle_gamma 90.00
loop_
_space_group_symop_operation_xyz
'x,y,z'
'-x,-y,-z'
'-x+1/2,-y,z'
'x+1/2,y,-z'
'x+1/2,-y,-z'
'-x+1/2,y,z'
'-x,y,-z'
'x,-y,z'
loop_
_atom_site_label
_atom_site_type_symbol
_atom_site_fract_x
_atom_site_fract_y
_atom_site_fract_z
Sr1 Sr 0.250 0.000 0.099
Li1 Li 0.000 0.000 0.500
Li2 Li 0.074 0.500 0.782
Li3 Li 0.250 0.500 0.492
Pt1 Pt 0.250 0.000 0.714
```

**DFT formation energy**: -292 meV/atom
**Raw total energy**: -2.85 eV/atom
**Magnetization**: 0.00 μB per formula unit